(1)
DFT (GGA-PBE) results for a geometry-optimized Ac4TlSe5 structure.

a b c (Å): 4.4995 4.4995 18.8795
angles (deg): 83.16 83.16 60.00
Last column: nearest neighbours and their distance in Å.
Fractional positions:
1 Ac 0.3014 0.3014 0.0959  6 Se 3.16-3.18
2 Se 0.3980 0.3980 0.8060  6 Ac 3.17-3.18
3 Ac 0.6986 0.6986 0.9041  6 Se 3.16-3.18
4 Se 0.2057 0.2057 0.3828  3 Ac 3.11, 3 Tl 3.40
5 Ac 0.9030 0.9030 0.2911  6 Se 3.11-3.17
6 Se 0.7943 0.7943 0.6172  3 Ac 3.11, 3 Tl 3.40
7 Se 0.0000 0.0000 0.0000  6 Ac 3.16
8 Tl 0.5000 0.5000 0.5000  6 Se 3.40
9 Ac 0.0970 0.0970 0.7089  6 Se 3.11-3.17
10 Se 0.6020 0.6020 0.1940  6 Ac 3.17-3.18

Computed properties:
Total DFT energy (no corrections) = -53.1 eV for the cell shown
Spin magnetization = 0.000 μB per atom
Energy relative to the elements, uncorrected = -1.686 eV/atom


(2)
DFT (GGA-PBE) results for a geometry-optimized Ac2TlSe structure.

a b c (Å): 4.6018 4.7012 12.9692
angles (deg): 100.44 90.00 90.00
Last column: nearest neighbours and their distance in Å.
Fractional positions:
1 Ac 0.2500 0.0701 0.1402  1 Se 3.13, 4 Tl 3.36
2 Se 0.7500 0.8070 0.6141  6 Ac 3.12-3.30
3 Ac 0.7500 0.6848 0.3696  5 Se 3.12-3.30
4 Ac 0.7500 0.9299 0.8598  1 Se 3.13, 4 Tl 3.36
5 Tl 0.2500 0.4569 0.9139  2 Tl 3.18, 4 Ac 3.36
6 Ac 0.2500 0.3152 0.6304  5 Se 3.12-3.30
7 Se 0.2500 0.1930 0.3859  6 Ac 3.12-3.30
8 Tl 0.7500 0.5431 0.0861  2 Tl 3.18, 4 Ac 3.36

Computed properties:
Total DFT energy (no corrections) = -36.8 eV for the cell shown
Spin magnetization = 0.000 μB per atom
Energy relative to the elements, uncorrected = -1.087 eV/atom


(3)
DFT (GGA-PBE) results for a geometry-optimized Ac5TlSe4 structure.

a b c (Å): 6.4218 7.9000 7.8942
angles (deg): 80.49 66.08 66.02
Last column: nearest neighbours and their distance in Å.
Fractional positions:
1 Ac 0.8993 0.4070 0.7966  5 Se 3.19-3.21, 1 Tl 3.28
2 Ac 0.5009 0.0000 0.0000  2 Tl 3.21, 4 Se 3.24-3.25
3 Ac 0.1029 0.5930 0.2034  5 Se 3.19-3.21, 1 Tl 3.28
4 Se 0.8022 0.8015 0.5966  6 Ac 3.19-3.25
5 Tl 0.0009 0.0000 0.0000  6 Ac 3.21-3.28
6 Se 0.3987 0.4033 0.8013  6 Ac 3.19-3.24
7 Ac 0.3064 0.7965 0.5931  5 Se 3.19-3.21, 1 Tl 3.28
8 Se 0.2000 0.1985 0.4034  6 Ac 3.19-3.25
9 Se 0.6034 0.5967 0.1987  6 Ac 3.19-3.24
10 Ac 0.6957 0.2035 0.4069  5 Se 3.19-3.21, 1 Tl 3.28

Computed properties:
Total DFT energy (no corrections) = -52.5 eV for the cell shown
Spin magnetization = 0.000 μB per atom
Energy relative to the elements, uncorrected = -1.563 eV/atom


(4)
DFT (GGA-PBE) results for a geometry-optimized Ac2TlSe3 structure.

a b c (Å): 4.4920 4.4920 23.1496
angles (deg): 90.00 90.00 120.00
Last column: nearest neighbours and their distance in Å.
Fractional positions:
1 Ac 0.3333 0.6667 0.9198  6 Se 3.11-3.19
2 Se 0.6667 0.3333 0.8455  3 Ac 3.11, 3 Tl 3.41
3 Se 0.0000 0.0000 0.0000  6 Ac 3.19
4 Tl 0.0000 0.0000 0.7500  6 Se 3.41
5 Ac 0.3333 0.6667 0.5802  6 Se 3.11-3.19
6 Ac 0.6667 0.3333 0.0802  6 Se 3.11-3.19
7 Ac 0.6667 0.3333 0.4198  6 Se 3.11-3.19
8 Se 0.3333 0.6667 0.1545  3 Ac 3.11, 3 Tl 3.41
9 Se 0.6667 0.3333 0.6545  3 Ac 3.11, 3 Tl 3.41
10 Se 0.3333 0.6667 0.3455  3 Ac 3.11, 3 Tl 3.41
11 Se 0.0000 0.0000 0.5000  6 Ac 3.19
12 Tl 0.0000 0.0000 0.2500  6 Se 3.41

Computed properties:
Total DFT energy (no corrections) = -60.8 eV for the cell shown
Spin magnetization = 0.000 μB per atom
Energy relative to the elements, uncorrected = -1.559 eV/atom